1.
A plane-wave DFT calculation with PBE was carried out for a relaxed NbIr2 crystal.

CIF file:
```
data_NbIr2
_chemical_formula_sum 'Nb1 Ir2'
_space_group_name_H-M_alt 'P 1'
_space_group_IT_number 1
_cell_length_a 6.261
_cell_length_b 6.261
_cell_length_c 6.261
_cell_angle_alpha 154.08
_cell_angle_beta 154.08
_cell_angle_gamma 36.99
loop_
_space_group_symop_operation_xyz
'x,y,z'
loop_
_atom_site_label
_atom_site_type_symbol
_atom_site_fract_x
_atom_site_fract_y
_atom_site_fract_z
Nb1 Nb 0.000 0.000 0.000
Ir1 Ir 0.332 0.332 0.000
Ir2 Ir 0.668 0.668 0.000
```

Computed properties:
Formation enthalpy at 0 K   -0.96 eV/f.u.
Total magnetization   0.000 μB per atom


2.
A plane-wave DFT calculation with PBE was carried out for a relaxed Cd2GaCu3 crystal.

CIF file:
```
data_Cd2GaCu3
_chemical_formula_sum 'Cd2 Ga1 Cu3'
_space_group_name_H-M_alt 'P 1'
_space_group_IT_number 1
_cell_length_a 5.005
_cell_length_b 5.005
_cell_length_c 5.033
_cell_angle_alpha 118.29
_cell_angle_beta 118.29
_cell_angle_gamma 62.15
loop_
_space_group_symop_operation_xyz
'x,y,z'
loop_
_atom_site_label
_atom_site_type_symbol
_atom_site_fract_x
_atom_site_fract_y
_atom_site_fract_z
Cd1 Cd 0.123 0.123 0.375
Cd2 Cd 0.877 0.877 0.625
Ga1 Ga 0.500 0.500 0.000
Cu1 Cu 0.000 0.500 0.000
Cu2 Cu 0.500 0.000 0.000
Cu3 Cu 0.500 0.500 0.500
```

Computed properties:
Formation enthalpy at 0 K   -0.40 eV/f.u.
Total magnetization   0.000 μB per atom


3.
A plane-wave DFT calculation with PBE was carried out for a relaxed AlFePb2 crystal.

CIF file:
```
data_AlFePb2
_chemical_formula_sum 'Al1 Fe1 Pb2'
_space_group_name_H-M_alt 'P 1'
_space_group_IT_number 1
_cell_length_a 3.255
_cell_length_b 3.255
_cell_length_c 8.574
_cell_angle_alpha 90.00
_cell_angle_beta 90.00
_cell_angle_gamma 90.00
loop_
_space_group_symop_operation_xyz
'x,y,z'
loop_
_atom_site_label
_atom_site_type_symbol
_atom_site_fract_x
_atom_site_fract_y
_atom_site_fract_z
Al1 Al 0.000 0.000 0.000
Fe1 Fe 0.000 0.000 0.500
Pb1 Pb 0.500 0.500 0.282
Pb2 Pb 0.500 0.500 0.718
```

Computed properties:
Formation enthalpy at 0 K   1.97 eV/f.u.
Total magnetization   0.643 μB per atom


4.
A plane-wave DFT calculation with PBE was carried out for a relaxed TlFe2Co crystal.

CIF file:
```
data_TlFe2Co
_chemical_formula_sum 'Tl1 Fe2 Co1'
_space_group_name_H-M_alt 'P 1'
_space_group_IT_number 1
_cell_length_a 4.294
_cell_length_b 4.294
_cell_length_c 4.294
_cell_angle_alpha 60.00
_cell_angle_beta 60.00
_cell_angle_gamma 60.00
loop_
_space_group_symop_operation_xyz
'x,y,z'
loop_
_atom_site_label
_atom_site_type_symbol
_atom_site_fract_x
_atom_site_fract_y
_atom_site_fract_z
Tl1 Tl 0.000 0.000 0.000
Fe1 Fe 0.250 0.250 0.250
Fe2 Fe 0.500 0.500 0.500
Co1 Co 0.750 0.750 0.750
```

Computed properties:
Formation enthalpy at 0 K   1.66 eV/f.u.
Total magnetization   1.486 μB per atom


Question: Which of these has the lowest formation enthalpy at 0 K?
Answer: NbIr2


Question: Which of these has the highest total magnetization?
Answer: TlFe2Co


Please write out number 2 again, unchanged.
A plane-wave DFT calculation with PBE was carried out for a relaxed Cd2GaCu3 crystal.

CIF file:
```
data_Cd2GaCu3
_chemical_formula_sum 'Cd2 Ga1 Cu3'
_space_group_name_H-M_alt 'P 1'
_space_group_IT_number 1
_cell_length_a 5.005
_cell_length_b 5.005
_cell_length_c 5.033
_cell_angle_alpha 118.29
_cell_angle_beta 118.29
_cell_angle_gamma 62.15
loop_
_space_group_symop_operation_xyz
'x,y,z'
loop_
_atom_site_label
_atom_site_type_symbol
_atom_site_fract_x
_atom_site_fract_y
_atom_site_fract_z
Cd1 Cd 0.123 0.123 0.375
Cd2 Cd 0.877 0.877 0.625
Ga1 Ga 0.500 0.500 0.000
Cu1 Cu 0.000 0.500 0.000
Cu2 Cu 0.500 0.000 0.000
Cu3 Cu 0.500 0.500 0.500
```

Computed properties:
Formation enthalpy at 0 K   -0.40 eV/f.u.
Total magnetization   0.000 μB per atom


Question: Which value of total magnetization does entry 1 give?
Answer: 0.000 μB per atom